AuBrCl4: optimized geometry, PBE-GGA.

Cell lengths 7.547, 7.676, 7.603 Å; angles 67.05, 62.18, 117.00 degrees
Element x y z (fractional)
Au (0.058, 0.513, 0.423)
Cl (0.304, 0.191, 0.533)
Cl (0.647, 0.776, 0.519)
Cl (0.013, 0.232, 0.165)
Cl (0.936, 0.735, 0.887)
Br (0.530, 0.070, 0.980)

Summary:
Symmetry = P1, No. 1
Raw formation energy = 6.88 kJ/mol of atoms

WAu2N: optimized geometry, PBE-GGA.

Cell lengths 8.441, 8.441, 6.281 Å; angles 47.78, 47.78, 90.00 degrees
Element x y z (fractional)
Au (0.235, 0.625, 0.250)
Au (0.375, 0.485, 0.750)
Au (0.875, 0.765, 0.750)
Au (0.515, 0.125, 0.250)
N (0.250, 0.750, 0.500)
N (0.500, 0.500, 0.000)
W (0.750, 0.250, 0.500)
W (0.000, 0.000, 0.000)

Summary:
Symmetry = I-42d, No. 122
D(E_F) = 4.46 states/eV per cell
Raw formation energy = 88.03 kJ/mol of atoms

RbZnCd2Sn: optimized geometry, PBE-GGA.

Cell lengths 5.452, 5.452, 5.351 Å; angles 90.00, 90.00, 90.00 degrees
Element x y z (fractional)
Cd (0.500, 0.000, 0.000)
Cd (0.000, 0.500, 0.000)
Zn (0.000, 0.000, 0.000)
Sn (0.000, 0.000, 0.500)
Rb (0.500, 0.500, 0.500)

Summary:
Symmetry = P4/mmm, No. 123
ΔH_f (0 K) = 0.118 eV/atom
D(E_F) = 3.75 states/eV per cell

NaCaMo3: optimized geometry, PBE-GGA.

Cell lengths 4.752, 4.752, 4.752 Å; angles 90.00, 90.00, 90.00 degrees
Element x y z (fractional)
Mo (0.000, 0.500, 0.000)
Mo (0.500, 0.000, 0.000)
Mo (0.000, 0.000, 0.500)
Na (0.000, 0.000, 0.000)
Ca (0.500, 0.500, 0.500)

Summary:
Symmetry = Pm-3m, No. 221
ΔH_f (0 K) = 2.407 eV/atom
D(E_F) = 8.81 states/eV per cell

Pm5MgTl4: optimized geometry, PBE-GGA.

Cell lengths 3.867, 3.867, 19.474 Å; angles 90.00, 90.00, 90.00 degrees
Element x y z (fractional)
Tl (0.000, 0.000, 0.805)
Tl (0.000, 0.000, 0.195)
Tl (0.000, 0.000, 0.601)
Tl (0.000, 0.000, 0.399)
Pm (0.500, 0.500, 0.299)
Pm (0.500, 0.500, 0.903)
Pm (0.500, 0.500, 0.500)
Pm (0.500, 0.500, 0.701)
Pm (0.500, 0.500, 0.097)
Mg (0.000, 0.000, 0.000)

Summary:
Symmetry = P4/mmm, No. 123
ΔH_f (0 K) = -0.331 eV/atom
D(E_F) = 10.57 states/eV per cell

Ca2CdCl: optimized geometry, PBE-GGA.

Cell lengths 8.709, 8.709, 8.709 Å; angles 155.64, 154.42, 35.62 degrees
Element x y z (fractional)
Cd (0.447, 0.447, 0.000)
Ca (0.050, 0.050, 0.000)
Ca (0.798, 0.298, 0.500)
Cl (0.206, 0.706, 0.500)

Summary:
Symmetry = Imm2, No. 44
D(E_F) = 2.56 states/eV per cell
Raw formation energy = -80.07 kJ/mol of atoms

CeGa2Hg: optimized geometry, PBE-GGA.

Cell lengths 4.296, 4.564, 4.564 Å; angles 90.00, 90.00, 90.00 degrees
Element x y z (fractional)
Ga (0.000, 0.500, 0.000)
Ga (0.000, 0.000, 0.500)
Ce (0.500, 0.000, 0.000)
Hg (0.500, 0.500, 0.500)

Summary:
Symmetry = P4/mmm, No. 123
ΔH_f (0 K) = -0.374 eV/atom
D(E_F) = 6.20 states/eV per cell

FeCo2Os: optimized geometry, PBE-GGA.

Cell lengths 2.588, 3.573, 5.105 Å; angles 90.00, 90.00, 90.00 degrees
Element x y z (fractional)
Os (0.500, 0.500, 0.754)
Fe (0.000, 0.000, 0.490)
Co (0.000, 0.000, 0.007)
Co (0.500, 0.500, 0.249)

Summary:
Symmetry = Pmm2, No. 25
ΔH_f (0 K) = 0.138 eV/atom
D(E_F) = 5.41 states/eV per cell

Bi2MoPdN: optimized geometry, PBE-GGA.

Cell lengths 4.986, 4.026, 4.986 Å; angles 90.00, 90.00, 90.00 degrees
Element x y z (fractional)
Mo (0.500, 0.500, 0.500)
Bi (0.000, 0.000, 0.500)
Bi (0.500, 0.000, 0.000)
Pd (0.000, 0.500, 0.000)
N (0.000, 0.000, 0.000)

Summary:
Symmetry = P4/mmm, No. 123
D(E_F) = 3.13 states/eV per cell
Raw formation energy = 79.80 kJ/mol of atoms

CuAgGe2Te4: optimized geometry, PBE-GGA.

Cell lengths 6.554, 6.554, 7.184 Å; angles 113.37, 113.37, 97.49 degrees
Element x y z (fractional)
Te (0.130, 0.130, 0.734)
Te (0.604, 0.604, 0.734)
Te (0.849, 0.378, 0.226)
Te (0.378, 0.849, 0.226)
Cu (0.505, 0.505, 0.009)
Ge (0.764, 0.264, 0.528)
Ge (0.264, 0.764, 0.528)
Ag (0.008, 0.008, 0.016)

Summary:
Symmetry = Fmm2, No. 42
D(E_F) = 2.23 states/eV per cell
Raw formation energy = -3.09 kJ/mol of atoms

Nd3Sm6Ho2Tm: optimized geometry, PBE-GGA.

Cell lengths 6.263, 6.263, 11.958 Å; angles 95.00, 95.00, 120.00 degrees
Element x y z (fractional)
Nd (0.833, 0.167, 0.500)
Nd (0.167, 0.833, 0.500)
Nd (0.500, 0.500, 0.500)
Ho (0.667, 0.333, 0.000)
Ho (0.333, 0.667, 0.000)
Sm (0.415, 0.082, 0.245)
Sm (0.585, 0.918, 0.755)
Sm (0.082, 0.415, 0.245)
Sm (0.749, 0.749, 0.245)
Sm (0.918, 0.585, 0.755)
Sm (0.251, 0.251, 0.755)
Tm (0.000, 0.000, 0.000)

Summary:
Symmetry = C2/m, No. 12
ΔH_f (0 K) = 0.018 eV/atom
D(E_F) = 16.09 states/eV per cell

AcHoAgAu: optimized geometry, PBE-GGA.

Cell lengths 5.352, 5.352, 5.352 Å; angles 60.00, 60.00, 60.00 degrees
Element x y z (fractional)
Ac (0.500, 0.500, 0.500)
Au (0.750, 0.750, 0.750)
Ho (0.000, 0.000, 0.000)
Ag (0.250, 0.250, 0.250)

Summary:
Symmetry = F-43m, No. 216
ΔH_f (0 K) = -0.490 eV/atom
D(E_F) = 3.59 states/eV per cell

NpBi4O10: optimized geometry, PBE-GGA.

Cell lengths 5.517, 6.718, 6.718 Å; angles 80.29, 65.75, 65.75 degrees
Element x y z (fractional)
O (0.250, 0.500, 0.500)
O (0.956, 0.907, 0.719)
O (0.044, 0.093, 0.281)
O (0.582, 0.093, 0.281)
O (0.675, 0.281, 0.907)
O (0.750, 0.500, 0.500)
O (0.863, 0.719, 0.093)
O (0.418, 0.907, 0.719)
O (0.137, 0.281, 0.907)
O (0.325, 0.719, 0.093)
Bi (0.401, 0.797, 0.402)
Bi (0.802, 0.598, 0.797)
Bi (0.198, 0.402, 0.203)
Bi (0.599, 0.203, 0.598)
Np (0.000, 0.000, 0.000)

Summary:
Symmetry = I4/m, No. 87
D(E_F) = 4.81 states/eV per cell
Raw formation energy = -147.55 kJ/mol of atoms

TbCeZrCd: optimized geometry, PBE-GGA.

Cell lengths 5.304, 5.304, 5.304 Å; angles 60.00, 60.00, 60.00 degrees
Element x y z (fractional)
Tb (0.500, 0.500, 0.500)
Cd (0.250, 0.250, 0.250)
Ce (0.000, 0.000, 0.000)
Zr (0.750, 0.750, 0.750)

Summary:
Symmetry = F-43m, No. 216
ΔH_f (0 K) = 0.064 eV/atom
D(E_F) = 7.65 states/eV per cell

CsHgSbTe3: optimized geometry, PBE-GGA.

Cell lengths 4.608, 10.012, 11.247 Å; angles 109.36, 90.00, 90.00 degrees
Element x y z (fractional)
Sb (0.750, 0.330, 0.877)
Sb (0.250, 0.670, 0.123)
Te (0.250, 0.782, 0.449)
Te (0.750, 0.876, 0.112)
Te (0.250, 0.124, 0.888)
Te (0.750, 0.218, 0.551)
Te (0.750, 0.466, 0.147)
Te (0.250, 0.534, 0.853)
Hg (0.750, 0.916, 0.376)
Hg (0.250, 0.084, 0.624)
Cs (0.250, 0.213, 0.262)
Cs (0.750, 0.787, 0.738)

Summary:
Symmetry = P2_1/m, No. 11
Raw formation energy = -41.22 kJ/mol of atoms

LiPrCdNi: optimized geometry, PBE-GGA.

Cell lengths 4.821, 4.821, 4.821 Å; angles 60.00, 60.00, 60.00 degrees
Element x y z (fractional)
Cd (0.750, 0.750, 0.750)
Li (0.500, 0.500, 0.500)
Ni (0.000, 0.000, 0.000)
Pr (0.250, 0.250, 0.250)

Summary:
Symmetry = F-43m, No. 216
ΔH_f (0 K) = -0.150 eV/atom
D(E_F) = 4.92 states/eV per cell